Entry 1:
SCAN Cd4Ag3, single point on PBEsol structure; crystal system = tetragonal; E = -30.851 eV/atom; energy relative to the elements = -0.029 eV/atom; offset from the most stable computed form = 0 meV per atom; Fermi-level density of states = 1.8 states/eV per cell; size of the total moment = 0.0 μB/f.u.
1.0
3.354 0.000 0.000
0.000 3.354 0.000
-1.677 -1.677 11.495
Ag Cd
3 4
Cartesian
0.000 0.000 0.000
0.000 0.000 6.508
1.677 1.677 4.987
0.000 0.000 3.423
0.000 0.000 9.885
1.677 1.677 1.610
1.677 1.677 8.072

---

Entry 2:
SCAN CdAg2, single point on PBEsol structure; crystal system = monoclinic; E = -31.090 eV/atom; energy relative to the elements = -0.040 eV/atom; offset from the most stable computed form = 13 meV per atom; Fermi-level density of states = 1.4 states/eV per cell; size of the total moment = 0.0 μB/f.u.
1.0
2.945 0.000 0.000
-1.473 5.348 -0.010
0.000 -1.800 6.661
Ag Cd
4 2
Cartesian
0.000 0.011 0.023
0.000 3.662 1.833
1.473 1.201 2.226
0.000 2.355 4.440
0.000 -0.544 4.014
1.473 0.694 6.316